This record from Alexandria via LeMat-Bulk describes NdSmSi after structural relaxation. The functional is PBE.

Properties
Space-group type: Immm
Distance to the lowest polymorph of the same formula: 46 meV/atom
Energy relative to the elements, uncorrected: -0.44 eV per atom

Cell: 4.205 6.396 7.357 Å, 115.77 106.60 90.00°
Atoms (fractional coordinates):
Si: 0.637 0.137 0.275
Si: 0.363 0.863 0.725
Sm: 0.000 0.228 0.000
Sm: 0.000 0.772 0.000
Nd: 0.302 0.302 0.604
Nd: 0.698 0.698 0.396

***

This record from Alexandria via LeMat-Bulk describes NdSm2Si6 after structural relaxation. The functional is PBE.

Properties
Space-group type: P6/mmm
Energy relative to the elements, uncorrected: -0.57 eV per atom

Cell: 4.113 7.148 7.148 Å, 120.00 90.00 90.00°
Atoms (fractional coordinates):
Si: 0.500 0.666 0.666
Si: 0.500 0.666 0.000
Si: 0.500 0.334 0.334
Si: 0.500 0.000 0.334
Si: 0.500 0.334 0.000
Si: 0.500 0.000 0.666
Nd: 0.000 0.000 0.000
Sm: 0.000 0.333 0.667
Sm: 0.000 0.667 0.333

***

This record from Alexandria via LeMat-Bulk describes Nd5SmSi4 after structural relaxation. The functional is PBE.

Properties
Space-group type: C2/m
Energy relative to the elements, uncorrected: -0.49 eV per atom

Cell: 5.112 6.981 10.754 Å, 130.20 103.75 90.00°
Atoms (fractional coordinates):
Nd: 0.165 0.323 0.331
Nd: 0.165 0.835 0.329
Nd: 0.835 0.677 0.669
Nd: 0.500 0.500 0.000
Nd: 0.835 0.165 0.671
Si: 0.991 0.736 0.982
Si: 0.676 0.103 0.353
Si: 0.009 0.264 0.018
Si: 0.324 0.897 0.647
Sm: 0.500 0.000 0.000

***

Number 1: VASP energy -5.41 eV/atom, total magnetic moment 0.00 μB per formula unit. Number 2: VASP energy -5.76 eV/atom, total magnetic moment 0.00 μB per formula unit. Number 3: VASP energy -5.51 eV/atom, total magnetic moment 0.00 μB per formula unit.